No. 1
# YReRu2

A relaxed YReRu2 crystal (PBE, Alexandria via LeMat-Bulk).

Lattice parameters (Å, degrees): 2.858 3.821 6.408 90.00 90.00 90.00
Space group Pmm2 (No. 25)
Inequivalent atoms, fractional coordinates:
1 Y 0.000 0.000 0.000 (multiplicity 1)
2 Re 0.500 0.500 0.322 (multiplicity 1)
3 Ru 0.000 0.000 0.503 (multiplicity 1)
4 Ru 0.500 0.500 0.717 (multiplicity 1)

For the energy relative to the elements, the calculation gives 265 meV/atom. Its total moment is 0.00 μB/f.u. Its distance to the lowest polymorph of the same formula is 0.215 eV/atom. The calculation puts the volume at 70 Å³ per cell. The value obtained for the calculated total energy is -36.4 eV/cell.

=====

No. 2
# YReRu2

A relaxed YReRu2 crystal (PBE, Alexandria via LeMat-Bulk).

Lattice parameters (Å, degrees): 7.300 7.300 5.785 90.00 90.00 90.00
Space group I-42d (No. 122)
Inequivalent atoms, fractional coordinates:
1 Y 0.000 0.000 0.000 (multiplicity 4)
2 Re 0.000 0.000 0.500 (multiplicity 4)
3 Ru 0.195 0.750 0.625 (multiplicity 8)

For the energy relative to the elements, the calculation gives 384 meV/atom. Its total moment is 0.00 μB/f.u. Its distance to the lowest polymorph of the same formula is 0.334 eV/atom. The calculation puts the volume at 308 Å³ per cell. The value obtained for the calculated total energy is -143.7 eV/cell.